La3YCd | PBEsol | relaxed

The structure in extended XYZ format:
```
5
Lattice="-5.679 -0.540 -1.355 0.420 -5.822 0.561 -1.397 0.447 5.677" Properties=species:S:1:pos:R:3 pbc="T T T"
La -2.840 -0.270 -0.678
La 0.210 -2.911 0.281
La -0.699 0.223 2.839
Y -3.329 -2.958 2.442
Cd 0.000 0.000 0.000
```

Properties
**DFT formation energy**: 477 meV/atom
**SG**: No. 221

---

CrGaPd2C | PBEsol | relaxed

The structure in extended XYZ format:
```
5
Lattice="3.858 0.000 0.000 0.000 4.212 0.000 0.000 0.000 4.212" Properties=species:S:1:pos:R:3 pbc="T T T"
Pd 0.000 0.000 2.106
Pd 0.000 2.106 0.000
C 0.000 0.000 0.000
Cr 1.929 2.106 2.106
Ga 1.929 0.000 0.000
```

Properties
**DFT formation energy**: 460 meV/atom
**SG**: No. 123

---

MgAgBAu2 | PBEsol | relaxed

The structure in extended XYZ format:
```
5
Lattice="4.242 0.000 0.000 0.000 4.813 0.000 0.000 0.000 4.813" Properties=species:S:1:pos:R:3 pbc="T T T"
B 2.121 0.000 0.000
Ag 2.121 2.407 2.407
Mg 0.000 0.000 0.000
Au 0.000 0.000 2.407
Au 0.000 2.407 0.000
```

Properties
**DFT formation energy**: 1230 meV/atom
**SG**: No. 123

---

TlBrF2 | PBEsol | relaxed

The structure in extended XYZ format:
```
4
Lattice="-2.713 0.495 1.547 -1.012 -2.106 2.130 3.149 3.751 7.550" Properties=species:S:1:pos:R:3 pbc="T T T"
F -2.670 -0.581 5.197
F 2.094 2.721 6.031
Tl 0.000 0.000 0.000
Br -0.288 1.070 5.614
```

Properties
**Uncorrected formation energy**: -0.47 eV per atom
**SG**: No. 166

---

FeSbIr3 | PBEsol | relaxed

The structure in extended XYZ format:
```
5
Lattice="-3.822 1.748 -1.463 -2.001 -3.942 0.516 -1.093 1.101 4.171" Properties=species:S:1:pos:R:3 pbc="T T T"
Ir -1.911 0.874 -0.732
Ir -0.547 0.551 2.086
Ir -1.000 -1.971 0.258
Sb -3.458 -0.546 1.612
Fe 0.000 0.000 0.000
```

Properties
**Uncorrected formation energy**: 1.30 eV per atom
**SG**: No. 221

---

LaMo2Ir2 | PBEsol | relaxed

The structure in extended XYZ format:
```
5
Lattice="-3.529 1.570 -2.190 -1.219 -4.148 -1.009 -0.322 1.064 5.784" Properties=species:S:1:pos:R:3 pbc="T T T"
La 0.000 0.000 0.000
Ir -1.981 -0.166 3.075
Ir -3.089 -1.349 -0.490
Mo -1.958 -2.187 1.588
Mo -3.113 0.672 0.997
```

Properties
**DFT formation energy**: -128 meV/atom
**SG**: No. 139

---

BiAs2OsSe | PBEsol | relaxed

The structure in extended XYZ format:
```
5
Lattice="4.639 0.000 0.000 0.000 4.639 0.000 0.000 0.000 5.383" Properties=species:S:1:pos:R:3 pbc="T T T"
Bi 2.320 2.320 2.691
Se 0.000 0.000 2.691
As 2.320 0.000 0.000
As 0.000 2.320 0.000
Os 0.000 0.000 0.000
```

Properties
**Uncorrected formation energy**: 0.49 eV per atom
**SG**: No. 123

---

ZrBeNi | PBEsol | relaxed

The structure in extended XYZ format:
```
3
Lattice="-1.022 1.297 -2.588 3.149 -1.324 -1.906 -3.238 -2.186 0.183" Properties=species:S:1:pos:R:3 pbc="T T T"
Ni -1.109 -1.899 -0.513
Zr 0.509 -0.963 -2.504
Be 0.000 0.000 0.000
```

Properties
**Distance to the lowest polymorph of the same formula**: 0.000 eV/atom
**DFT formation energy**: -308 meV/atom
**SG**: No. 187

---

no.,final energy (eV/cell)
1,-21.67
2,-32.84
3,-13.74
4,-10.23
5,-36.48
6,-49.17
7,-28.14
8,-20.17